# 1
First-principles (meta-GGA SCAN) data for a PBEsol-optimized structure of KInIN2, as listed in the Alexandria database.

POSCAR file:
```
KInIN2
1.0
-4.9735 1.1434 -0.3047
-1.0433 -4.8583 -1.2021
-0.7283 -1.4441 6.4683
I K N In
1 1 2 1
Direct
0.0000 0.0000 0.5000
0.0000 0.0000 0.0000
0.0000 0.5000 0.0000
0.5000 0.0000 0.0000
0.5000 0.5000 0.5000
```

Results
Electronic total energy ... -1.3276 Ry per atom
Distance to the lowest polymorph of the same formula ... 65.7 kJ/mol of atoms
ΔE_f (raw) ... 1.346 eV per atom

# 2
First-principles (meta-GGA SCAN) data for a PBEsol-optimized structure of K2NaInI6, as listed in the Alexandria database.

POSCAR file:
```
K2NaInI6
1.0
-0.2467 -7.9948 2.5173
-1.7803 -6.0742 -5.4998
5.9873 -5.3461 -2.4260
K Na In I
2 1 1 6
Direct
0.7500 0.7500 0.7500
0.2500 0.2500 0.2500
0.5000 0.5000 0.5000
0.0000 0.0000 0.0000
0.7569 0.2431 0.2431
0.7569 0.7569 0.2431
0.2431 0.7569 0.7569
0.7569 0.2431 0.7569
0.2431 0.7569 0.2431
0.2431 0.2431 0.7569
```

Results
Electronic total energy ... -2.0976 Ry per atom
ΔE_f (raw) ... -1.069 eV per atom

# 3
First-principles (meta-GGA SCAN) data for a PBEsol-optimized structure of KInI2O, as listed in the Alexandria database.

POSCAR file:
```
KInI2O
1.0
-1.8762 -2.4121 3.6650
-4.1109 -2.8148 -3.9569
4.1620 -4.7132 -0.9713
I K O In
2 1 1 1
Direct
0.0000 0.0000 0.5000
0.0000 0.5000 0.0000
0.0000 0.0000 0.0000
0.5000 0.0000 0.0000
0.5000 0.5000 0.5000
```

Results
Electronic total energy ... -1.7960 Ry per atom
ΔE_f (raw) ... -0.150 eV per atom

# 4
First-principles (meta-GGA SCAN) data for a PBEsol-optimized structure of K2InSbI6, as listed in the Alexandria database.

POSCAR file:
```
K2InSbI6
1.0
-0.3340 2.5746 -8.1939
3.6905 -4.7396 -6.1479
-4.8772 -4.2638 -5.6492
K In Sb I
2 1 1 6
Direct
0.7500 0.7500 0.7500
0.2500 0.2500 0.2500
0.5000 0.5000 0.5000
0.0000 0.0000 0.0000
0.7539 0.2461 0.2461
0.7539 0.7539 0.2461
0.2461 0.7539 0.7539
0.7539 0.2461 0.7539
0.2461 0.7539 0.2461
0.2461 0.2461 0.7539
```

Results
Electronic total energy ... -2.3220 Ry per atom
ΔE_f (raw) ... -0.817 eV per atom

# 5
First-principles (meta-GGA SCAN) data for a PBEsol-optimized structure of K2ScInI6, as listed in the Alexandria database.

POSCAR file:
```
K2ScInI6
1.0
8.5408 0.0000 0.0000
4.2704 7.3966 0.0000
4.2704 2.4655 6.9736
K Sc In I
2 1 1 6
Direct
0.7500 0.7500 0.7500
0.2500 0.2500 0.2500
0.0000 0.0000 0.0000
0.5000 0.5000 0.5000
0.7641 0.2359 0.2359
0.7641 0.7641 0.2359
0.2359 0.7641 0.7641
0.7641 0.2359 0.7641
0.2359 0.7641 0.2359
0.2359 0.2359 0.7641
```

Results
Electronic total energy ... -2.1811 Ry per atom
ΔE_f (raw) ... -1.203 eV per atom

# 6
First-principles (meta-GGA SCAN) data for a PBEsol-optimized structure of LaInI2O, as listed in the Alexandria database.

POSCAR file:
```
LaInI2O
1.0
4.3066 0.0000 0.0000
0.0000 6.4524 0.0000
0.0000 0.0000 6.4524
I In O La
2 1 1 1
Direct
0.0000 0.0000 0.5000
0.0000 0.5000 0.0000
0.5000 0.5000 0.5000
0.5000 0.0000 0.0000
0.0000 0.0000 0.0000
```

Results
Electronic total energy ... -2.4161 Ry per atom
ΔE_f (raw) ... -1.631 eV per atom

# 7
First-principles (meta-GGA SCAN) data for a PBEsol-optimized structure of LaInSbI2, as listed in the Alexandria database.

POSCAR file:
```
LaInSbI2
1.0
6.1072 0.0000 0.0000
0.0000 6.1186 0.0000
0.0000 0.0000 6.1186
I Sb In La
2 1 1 1
Direct
0.0000 0.0000 0.5000
0.0000 0.5000 0.0000
0.5000 0.0000 0.0000
0.5000 0.5000 0.5000
0.0000 0.0000 0.0000
```

Results
Electronic total energy ... -2.7910 Ry per atom
ΔE_f (raw) ... -0.526 eV per atom

# 8
First-principles (meta-GGA SCAN) data for a PBEsol-optimized structure of Li2InI, as listed in the Alexandria database.

POSCAR file:
```
Li2InI
1.0
-4.9557 -1.4409 0.3527
-1.8840 -1.7028 4.5067
-3.3539 2.9015 2.6631
I Li In
1 2 1
Direct
0.5000 0.5000 0.5000
0.2500 0.2500 0.2500
0.7500 0.7500 0.7500
0.0000 0.0000 0.0000
```

Results
Electronic total energy ... -1.3915 Ry per atom
ΔE_f (raw) ... -0.205 eV per atom

# 9
First-principles (meta-GGA SCAN) data for a PBEsol-optimized structure of LiInI2, as listed in the Alexandria database.

POSCAR file:
```
LiInI2
1.0
-5.3154 -4.2945 -1.8003
2.3165 -1.5199 6.5008
-2.1599 6.7283 0.0416
I Li In
4 2 2
Direct
0.9393 0.5643 0.1250
0.0607 0.1857 0.6250
0.5607 0.3750 0.4357
0.4393 0.8750 0.8143
0.0000 0.5000 0.5000
0.5000 0.2500 0.7500
0.0000 0.0000 0.0000
0.5000 0.7500 0.2500
```

Results
Electronic total energy ... -2.0682 Ry per atom
ΔE_f (raw) ... -0.825 eV per atom

# 10
First-principles (meta-GGA SCAN) data for a PBEsol-optimized structure of LiInTe2I, as listed in the Alexandria database.

POSCAR file:
```
LiInTe2I
1.0
-3.2557 -0.8373 4.4951
-0.2529 -5.4768 -1.2033
4.9081 -0.9681 3.3745
I Te Li In
1 2 1 1
Direct
0.0000 0.0000 0.5000
0.0000 0.5000 0.0000
0.5000 0.0000 0.0000
0.5000 0.5000 0.5000
0.0000 0.0000 0.0000
```

Results
Electronic total energy ... -2.1673 Ry per atom
ΔE_f (raw) ... -0.083 eV per atom

# 11
First-principles (meta-GGA SCAN) data for a PBEsol-optimized structure of MgMnIn2I, as listed in the Alexandria database.

POSCAR file:
```
MgMnIn2I
1.0
5.1605 0.0000 0.0000
0.0000 5.1605 0.0000
0.0000 0.0000 5.2454
I Mg Mn In
1 1 1 2
Direct
0.0000 0.0000 0.5000
0.5000 0.5000 0.5000
0.0000 0.0000 0.0000
0.0000 0.5000 0.0000
0.5000 0.0000 0.0000
```

Results
Electronic total energy ... -1.8438 Ry per atom
ΔE_f (raw) ... 0.262 eV per atom

# 12
First-principles (meta-GGA SCAN) data for a PBEsol-optimized structure of MnIn2I, as listed in the Alexandria database.

POSCAR file:
```
MnIn2I
1.0
-3.5498 1.1656 3.8208
-5.2229 -0.6716 -0.9103
-2.6587 -3.9261 2.4648
I Mn In
1 1 2
Direct
0.5000 0.5000 0.5000
0.0000 0.0000 0.0000
0.2500 0.2500 0.2500
0.7500 0.7500 0.7500
```

Results
Electronic total energy ... -2.2068 Ry per atom
ΔE_f (raw) ... 0.418 eV per atom